# Zn5Rh

Zn5Rh at its PBEsol-relaxed geometry (meta-GGA SCAN, the Alexandria database).

spin magnetization = 0.000 μB per cell
energy of formation = -190 meV/atom
VASP energy = -204.98 eV per cell
Fermi-level density of states = 1.66 states/eV/f.u.

a = 9.668 Å, b = 2.812 Å, c = 6.252 Å
α = 90.00°, β = 105.97°, γ = 90.00°
Space group Cm (No. 8)
Symmetry-distinct sites (fractional):
Zn  0.000  0.000  0.000 x2
Zn  0.049  0.000  0.609 x2
Zn  0.170  0.500  0.342 x2
Zn  0.222  0.500  0.930 x2
Zn  0.384  0.000  0.274 x2
Rh  0.333  0.000  0.665 x2